# 1
{"formula": "CsCaBr3", "functional": "PBE", "state": "optimized geometry", "lattice_angstrom": [[5.070, 0.000, 0.000], [0.000, 5.070, 0.000], [0.000, 0.000, 9.031]], "species": ["Br", "Cs", "Br", "Br", "Ca"], "frac_coords": [[0.500, 0.000, 0.407], [0.000, 0.000, 0.134], [0.000, 0.000, 0.755], [0.000, 0.500, 0.407], [0.500, 0.500, 0.562]], "e_tot_ev_per_atom": -3.22, "sg": "P4mm, No. 99", "total_magnetization_mub_per_atom": 0.0000, "formation_energy_uncorrected_mev_per_atom": -1648}

# 2
{"formula": "Cs3Ca2Br7", "functional": "PBE", "state": "optimized geometry", "lattice_angstrom": [[-3.152, -3.186, -3.618], [2.326, -4.791, 2.194], [-10.438, 3.320, 10.756]], "species": ["Cs", "Br", "Cs", "Br", "Cs", "Br", "Br", "Ca", "Br", "Ca", "Br", "Br"], "frac_coords": [[0.682, 0.682, 0.365], [0.805, 0.805, 0.610], [0.318, 0.318, 0.635], [0.195, 0.195, 0.390], [0.500, 0.500, 0.000], [0.000, 0.000, 0.000], [0.905, 0.405, 0.811], [0.901, 0.901, 0.802], [0.095, 0.595, 0.189], [0.099, 0.099, 0.198], [0.595, 0.095, 0.189], [0.405, 0.905, 0.811]], "e_tot_ev_per_atom": -3.47, "sg": "I4/mmm, No. 139", "total_magnetization_mub_per_atom": 0.0000, "relative_energy_mev_per_atom": 0, "formation_energy_uncorrected_mev_per_atom": -1949}

# 3
{"formula": "Cs3Ca2Br6", "functional": "PBE", "state": "optimized geometry", "lattice_angstrom": [[5.799, 0.000, 0.000], [0.000, 5.799, 0.000], [-2.899, -2.899, 13.939]], "species": ["Br", "Br", "Ca", "Cs", "Cs", "Br", "Br", "Cs", "Ca", "Br", "Br"], "frac_coords": [[0.690, 0.690, 0.381], [0.587, 0.087, 0.173], [0.586, 0.586, 0.173], [0.820, 0.820, 0.640], [0.000, 0.000, 0.000], [0.413, 0.913, 0.827], [0.310, 0.310, 0.619], [0.180, 0.180, 0.360], [0.414, 0.414, 0.827], [0.087, 0.587, 0.173], [0.913, 0.413, 0.827]], "e_tot_ev_per_atom": -3.29, "sg": "I4/mmm, No. 139", "total_magnetization_mub_per_atom": 0.0908, "formation_energy_uncorrected_mev_per_atom": -1778}

# 4
{"formula": "CsCaCu2Br6", "functional": "PBE", "state": "optimized geometry", "lattice_angstrom": [[7.352, 0.000, 0.000], [3.676, 6.367, 0.000], [3.676, 2.122, 8.517]], "species": ["Br", "Br", "Ca", "Br", "Br", "Br", "Cu", "Cu", "Br", "Cs"], "frac_coords": [[0.100, 0.466, 0.713], [0.721, 0.100, 0.713], [0.500, 0.500, 0.500], [0.279, 0.900, 0.287], [0.900, 0.534, 0.287], [0.534, 0.279, 0.287], [0.232, 0.232, 0.303], [0.768, 0.768, 0.697], [0.466, 0.721, 0.713], [0.000, 0.000, 0.000]], "e_tot_ev_per_atom": -3.20, "sg": "R-3, No. 148", "total_magnetization_mub_per_atom": 0.1113, "formation_energy_uncorrected_mev_per_atom": -1093}

# 5
{"formula": "CsCaCuBr4", "functional": "PBE", "state": "optimized geometry", "lattice_angstrom": [[6.740, 0.000, -0.353], [0.000, 7.524, 0.000], [-3.103, 0.000, 9.393]], "species": ["Br", "Br", "Br", "Cu", "Br", "Cs", "Br", "Br", "Br", "Ca", "Ca", "Cu", "Cs", "Br"], "frac_coords": [[0.403, 0.750, 0.162], [0.597, 0.250, 0.838], [0.533, 0.250, 0.423], [0.790, 0.250, 0.671], [0.967, 0.493, 0.299], [0.244, 0.250, 0.054], [0.967, 0.007, 0.299], [0.467, 0.750, 0.577], [0.033, 0.507, 0.701], [0.779, 0.750, 0.446], [0.221, 0.250, 0.554], [0.210, 0.750, 0.329], [0.756, 0.750, 0.946], [0.033, 0.993, 0.701]], "e_tot_ev_per_atom": -3.40, "sg": "P2_1/m, No. 11", "total_magnetization_mub_per_atom": 0.0195, "formation_energy_uncorrected_mev_per_atom": -1455}

# 6
{"formula": "CsCaDyBr6", "functional": "PBE", "state": "optimized geometry", "lattice_angstrom": [[7.499, 0.000, 0.000], [-3.750, 6.495, 0.000], [0.000, 0.000, 16.050]], "species": ["Dy", "Cs", "Cs", "Br", "Br", "Ca", "Br", "Br", "Dy", "Ca", "Br", "Br", "Br", "Br", "Br", "Br", "Br", "Br"], "frac_coords": [[0.667, 0.333, 0.250], [0.000, 0.000, 0.500], [0.000, 0.000, 0.000], [0.010, 0.383, 0.648], [0.627, 0.617, 0.148], [0.333, 0.667, 0.250], [0.617, 0.627, 0.648], [0.383, 0.373, 0.352], [0.333, 0.667, 0.750], [0.667, 0.333, 0.750], [0.010, 0.627, 0.852], [0.990, 0.617, 0.352], [0.617, 0.990, 0.852], [0.383, 0.010, 0.148], [0.990, 0.373, 0.148], [0.373, 0.383, 0.852], [0.373, 0.990, 0.648], [0.627, 0.010, 0.352]], "e_tot_ev_per_atom": -3.90, "sg": "P-31c, No. 163", "total_magnetization_mub_per_atom": 0.0000, "formation_energy_uncorrected_mev_per_atom": -1954}

# 7
{"formula": "Cs2CaDyBr6", "functional": "PBE", "state": "optimized geometry", "lattice_angstrom": [[-6.894, -3.859, 1.809], [3.144, -6.928, -2.796], [4.071, -2.372, 10.456]], "species": ["Dy", "Ca", "Cs", "Br", "Br", "Cs", "Br", "Br", "Br", "Cs", "Br", "Br", "Br", "Br", "Cs", "Br", "Ca", "Br", "Br", "Dy"], "frac_coords": [[0.500, 0.249, 0.500], [0.000, 0.749, 0.500], [0.000, 0.250, 0.750], [0.500, 0.250, 0.252], [0.248, 0.503, 0.000], [0.000, 0.250, 0.250], [0.752, 0.503, 0.000], [0.000, 0.750, 0.248], [0.252, 0.497, 0.500], [0.500, 0.750, 0.250], [0.752, 0.998, 0.000], [0.000, 0.750, 0.752], [0.500, 0.250, 0.748], [0.248, 0.998, 0.000], [0.500, 0.750, 0.750], [0.252, 0.002, 0.500], [0.500, 0.251, 0.000], [0.748, 0.497, 0.500], [0.748, 0.002, 0.500], [0.000, 0.751, 0.000]], "e_tot_ev_per_atom": -3.60, "sg": "Pmmn, No. 59", "total_magnetization_mub_per_atom": 0.0785, "formation_energy_uncorrected_mev_per_atom": -1768}

# 8
{"formula": "Cs2CaBr2F2", "functional": "PBE", "state": "optimized geometry", "lattice_angstrom": [[4.847, 0.000, 0.000], [0.000, 4.847, 0.000], [-2.423, -2.423, 9.009]], "species": ["Br", "F", "Br", "F", "Ca", "Cs", "Cs"], "frac_coords": [[0.837, 0.837, 0.674], [0.500, 0.000, 0.000], [0.163, 0.163, 0.326], [0.000, 0.500, 0.000], [0.000, 0.000, 0.000], [0.627, 0.627, 0.254], [0.373, 0.373, 0.746]], "e_tot_ev_per_atom": -4.13, "sg": "I4/mmm, No. 139", "total_magnetization_mub_per_atom": 0.0000, "formation_energy_uncorrected_mev_per_atom": -2585}